# K2CuTcO4 | Alexandria | PBE | relaxed
# Symmetry: I-4 (82)
# Total moment (Bohr magnetons per cell): 0.0
# Formation energy from raw total energies (eV per atom): -1.2472
# Total energy (hartree per atom): -0.2135
data_K2CuTcO4
_cell_length_a 5.565
_cell_length_b 5.565
_cell_length_c 5.565
_cell_angle_alpha 99.43
_cell_angle_beta 114.71
_cell_angle_gamma 114.71
_space_group_name_H-M_alt 'P 1'
_space_group_IT_number 1
loop_
_space_group_symop_operation_xyz
'x,y,z'
loop_
_atom_site_label
_atom_site_type_symbol
_atom_site_fract_x
_atom_site_fract_y
_atom_site_fract_z
O1 O 0.125 0.276 0.665
Tc1 Tc 0.000 0.500 0.500
O2 O 0.389 0.849 0.724
Cu1 Cu 0.500 0.250 0.750
K1 K 0.500 0.750 0.250
O3 O 0.875 0.541 0.151
O4 O 0.611 0.335 0.459
K2 K 0.000 0.000 0.000

***

# Pm3Nd3Dy2 | Alexandria | PBE | relaxed
# Relative energy among the computed polymorphs (meV/atom): 0.0
# Symmetry: Pmmn (59)
# Total moment (Bohr magnetons per cell): 0.0
# Total energy (hartree per atom): -0.1724
# Formation energy (eV per atom): 0.030
data_Pm3Nd3Dy2
_cell_length_a 6.362
_cell_length_b 5.859
_cell_length_c 14.731
_cell_angle_alpha 90.00
_cell_angle_beta 90.00
_cell_angle_gamma 90.01
_space_group_name_H-M_alt 'P 1'
_space_group_IT_number 1
loop_
_space_group_symop_operation_xyz
'x,y,z'
loop_
_atom_site_label
_atom_site_type_symbol
_atom_site_fract_x
_atom_site_fract_y
_atom_site_fract_z
Pm1 Pm 0.662 0.250 0.250
Dy1 Dy 0.836 0.750 0.874
Pm2 Pm 0.832 0.750 0.125
Dy2 Dy 0.836 0.750 0.626
Pm3 Pm 0.832 0.750 0.375
Nd1 Nd 0.328 0.750 0.250
Pm4 Pm 0.168 0.250 0.625
Nd2 Nd 0.332 0.750 0.500
Nd3 Nd 0.332 0.750 0.000
Dy3 Dy 0.164 0.250 0.374
Pm5 Pm 0.338 0.750 0.750
Pm6 Pm 0.168 0.250 0.875
Nd4 Nd 0.672 0.250 0.750
Nd5 Nd 0.668 0.250 0.000
Nd6 Nd 0.668 0.250 0.500
Dy4 Dy 0.164 0.250 0.126

***

# K2ReTcN4 | Alexandria | PBE | relaxed
# Symmetry: Pmmn (59)
# Total moment (Bohr magnetons per cell): 0.0
# Formation energy from raw total energies (eV per atom): -0.1794
# Total energy (hartree per atom): -0.2745
data_K2ReTcN4
_cell_length_a 6.146
_cell_length_b 6.832
_cell_length_c 6.610
_cell_angle_alpha 90.00
_cell_angle_beta 90.00
_cell_angle_gamma 90.00
_space_group_name_H-M_alt 'P 1'
_space_group_IT_number 1
loop_
_space_group_symop_operation_xyz
'x,y,z'
loop_
_atom_site_label
_atom_site_type_symbol
_atom_site_fract_x
_atom_site_fract_y
_atom_site_fract_z
K1 K 0.000 0.705 0.749
N1 N 0.000 0.300 0.244
K2 K 0.500 0.295 0.751
Tc1 Tc 0.000 0.158 0.500
N2 N 0.257 0.010 0.500
N3 N 0.757 0.990 0.000
N4 N 0.500 0.700 0.256
Re1 Re 0.500 0.848 0.500
N5 N 0.000 0.300 0.756
N6 N 0.500 0.700 0.744
K3 K 0.000 0.705 0.251
K4 K 0.500 0.295 0.249
Re2 Re 0.000 0.152 0.000
N7 N 0.243 0.990 0.000
N8 N 0.743 0.010 0.500
Tc2 Tc 0.500 0.842 0.000

***

# Zr2Tl3 | Alexandria | PBE | relaxed
# Relative energy among the computed polymorphs (meV/atom): 0.0
# Symmetry: Fdd2 (43)
# Total moment (Bohr magnetons per cell): 0.0
# Total energy (hartree per atom): -0.1773
# Formation energy (eV per atom): 0.016
data_Zr2Tl3
_cell_length_a 9.194
_cell_length_b 8.050
_cell_length_c 6.118
_cell_angle_alpha 79.65
_cell_angle_beta 59.46
_cell_angle_gamma 40.89
_space_group_name_H-M_alt 'P 1'
_space_group_IT_number 1
loop_
_space_group_symop_operation_xyz
'x,y,z'
loop_
_atom_site_label
_atom_site_type_symbol
_atom_site_fract_x
_atom_site_fract_y
_atom_site_fract_z
Tl1 Tl 0.763 0.448 0.360
Zr1 Zr 0.221 0.879 0.367
Tl2 Tl 0.802 0.487 0.821
Zr2 Zr 0.532 0.367 0.879
Tl3 Tl 0.890 0.821 0.487
Tl4 Tl 0.429 0.360 0.448
Zr3 Zr 0.883 0.718 0.029
Zr4 Zr 0.371 0.029 0.718
Tl5 Tl 0.055 0.945 0.945
Tl6 Tl 0.305 0.195 0.195

***

# Dy2UReC4 | Alexandria | PBE | relaxed
# Symmetry: Cmcm (63)
# Total moment (Bohr magnetons per cell): 4.0
# Total energy (hartree per atom): -0.3187
# Formation energy (eV per atom): 0.057
data_Dy2UReC4
_cell_length_a 3.426
_cell_length_b 6.170
_cell_length_c 12.229
_cell_angle_alpha 90.00
_cell_angle_beta 90.00
_cell_angle_gamma 106.12
_space_group_name_H-M_alt 'P 1'
_space_group_IT_number 1
loop_
_space_group_symop_operation_xyz
'x,y,z'
loop_
_atom_site_label
_atom_site_type_symbol
_atom_site_fract_x
_atom_site_fract_y
_atom_site_fract_z
Re1 Re 0.837 0.674 0.750
C1 C 0.271 0.543 0.135
C2 C 0.000 0.000 0.500
U1 U 0.098 0.196 0.750
C3 C 0.271 0.543 0.365
Dy1 Dy 0.631 0.262 0.461
C4 C 0.729 0.457 0.865
Dy2 Dy 0.631 0.262 0.039
C5 C 0.729 0.457 0.635
C6 C 0.437 0.874 0.750
C7 C 0.563 0.126 0.250
C8 C 0.000 0.000 0.000
Dy3 Dy 0.369 0.738 0.961
U2 U 0.902 0.804 0.250
Dy4 Dy 0.369 0.738 0.539
Re2 Re 0.163 0.326 0.250

***

# Pr5Nd4Er2 | Alexandria | PBE | relaxed
# Relative energy among the computed polymorphs (meV/atom): 0.0
# Symmetry: C2/m (12)
# Total moment (Bohr magnetons per cell): 0.0
# Total energy (hartree per atom): -0.1683
# Formation energy (eV per atom): 0.157
data_Pr5Nd4Er2
_cell_length_a 3.517
_cell_length_b 12.346
_cell_length_c 9.121
_cell_angle_alpha 86.28
_cell_angle_beta 101.12
_cell_angle_gamma 90.00
_space_group_name_H-M_alt 'P 1'
_space_group_IT_number 1
loop_
_space_group_symop_operation_xyz
'x,y,z'
loop_
_atom_site_label
_atom_site_type_symbol
_atom_site_fract_x
_atom_site_fract_y
_atom_site_fract_z
Pr1 Pr 0.136 0.183 0.271
Pr2 Pr 0.864 0.817 0.729
Pr3 Pr 0.810 0.095 0.621
Pr4 Pr 0.500 0.000 0.000
Nd1 Nd 0.955 0.271 0.911
Er1 Er 0.093 0.461 0.187
Nd2 Nd 0.045 0.729 0.089
Nd3 Nd 0.284 0.366 0.568
Er2 Er 0.907 0.539 0.813
Nd4 Nd 0.716 0.634 0.432
Pr5 Pr 0.190 0.905 0.379